1.
Density functional theory data (GGA-PBE) for an optimized crystal structure of UTl2SbS5. Values from VASP.

```
&SYSTEM
  ibrav = 0, nat = 18, ntyp = 4
/
ATOMIC_SPECIES
U 238.03 U.upf
Tl 204.38 Tl.upf
Sb 121.76 Sb.upf
S 32.06 S.upf
CELL_PARAMETERS angstrom
2.0842 -8.8033 0.0000
2.0842 8.8033 0.0000
0.0000 0.0000 14.5178
ATOMIC_POSITIONS angstrom
U 2.0842 4.9406 7.2589
U 2.0842 -4.9406 0.0000
Tl 2.0842 7.1801 1.8156
Tl 2.0842 6.4311 11.2549
Tl 2.0842 -6.4311 3.9960
Tl 2.0842 -7.1801 9.0745
Sb 2.0842 0.7001 13.2313
Sb 2.0842 -0.7001 5.9724
S 2.0842 7.4870 7.7142
S 2.0842 4.0984 1.6327
S 2.0842 3.2563 12.8050
S 2.0842 2.5099 6.6666
S 2.0842 0.0089 10.9139
S 2.0842 -0.0089 3.6550
S 2.0842 -2.5099 13.9255
S 2.0842 -3.2563 5.5461
S 2.0842 -4.0984 8.8916
S 2.0842 -7.4870 0.4553
```

Calculated values
As for the space group: No. 36. The calculation puts the uncorrected formation energy at -5.78 eV per formula unit. Its crystal system is orthorhombic.

=====

2.
Density functional theory data (GGA-PBE) for an optimized crystal structure of Pr3In2Ga4. Values from VASP.

```
&SYSTEM
  ibrav = 0, nat = 9, ntyp = 3
/
ATOMIC_SPECIES
Pr 140.91 Pr.upf
In 114.82 In.upf
Ga 69.72 Ga.upf
CELL_PARAMETERS angstrom
5.8388 -2.2314 0.0000
5.8388 2.2314 0.0000
-1.9367 0.0000 8.6693
ATOMIC_POSITIONS angstrom
Pr 0.0000 0.0000 0.0000
Pr 3.3221 0.0000 2.8433
Pr 6.4189 0.0000 5.8260
In 3.0097 0.0000 6.1779
In 6.7313 0.0000 2.4913
Ga -0.2849 0.0000 3.2942
Ga 1.4901 0.0000 8.3577
Ga 8.2509 0.0000 0.3116
Ga 10.0258 0.0000 5.3751
```

Calculated values
As for the space group: No. 12. Its crystal system is monoclinic. The value obtained for the energy of formation from the pure elements is -0.577 eV per atom.

=====

Q: What is the formula in the first record?
A: UTl2SbS5